No. 1
This record from Alexandria via LeMat-Bulk describes an optimized crystal structure of Na4Hg7Au. The functional is PBE-GGA.

extended XYZ file:
```
12
Lattice="5.451 0.000 0.000 0.049 6.943 0.000 0.392 3.142 8.182" Properties=species:S:1:pos:R:3 pbc="T T T"
Na 1.324 3.390 1.740
Na 1.452 6.954 1.968
Na 4.440 3.131 6.213
Na 4.568 6.695 6.441
Hg 1.565 2.063 4.554
Hg 1.722 4.896 7.135
Hg 1.822 8.437 7.464
Hg 2.946 5.042 4.091
Hg 4.070 1.648 0.718
Hg 4.170 5.188 1.046
Hg 4.327 8.022 3.627
Au 0.221 5.042 4.091
```

crystal system = triclinic
ΔE_f = -0.2050 eV per atom


No. 2
This record from Alexandria via LeMat-Bulk describes an optimized crystal structure of NdVNi2. The functional is PBE-GGA.

extended XYZ file:
```
4
Lattice="2.049 1.183 4.972 -2.049 1.183 4.972 0.000 -2.366 4.972" Properties=species:S:1:pos:R:3 pbc="T T T"
Nd 0.000 0.000 0.000
V 0.000 0.000 7.458
Ni 0.000 0.000 2.937
Ni 0.000 0.000 11.978
```

crystal system = trigonal
ΔE_f = -0.1751 eV per atom


No. 3
This record from Alexandria via LeMat-Bulk describes an optimized crystal structure of Ac2In3Hg. The functional is PBE-GGA.

extended XYZ file:
```
6
Lattice="4.072 0.000 0.000 0.000 5.101 0.000 0.000 0.000 8.861" Properties=species:S:1:pos:R:3 pbc="T T T"
Ac 0.000 0.000 0.000
Ac 0.000 2.551 4.369
In 2.036 0.000 5.853
In 2.036 2.551 1.461
In 2.036 2.551 7.348
Hg 2.036 0.000 2.921
```

crystal system = orthorhombic
ΔE_f = -0.4542 eV per atom


No. 4
This record from Alexandria via LeMat-Bulk describes an optimized crystal structure of ErSn2Os. The functional is PBE-GGA.

extended XYZ file:
```
4
Lattice="2.253 1.301 4.978 -2.253 1.301 4.978 0.000 -2.602 4.978" Properties=species:S:1:pos:R:3 pbc="T T T"
Er 0.000 0.000 0.000
Sn 0.000 0.000 3.400
Sn 0.000 0.000 11.536
Os 0.000 0.000 7.468
```

crystal system = trigonal
ΔE_f = -0.1525 eV per atom


No. 5
This record from Alexandria via LeMat-Bulk describes an optimized crystal structure of RePIr. The functional is PBE-GGA.

extended XYZ file:
```
3
Lattice="0.000 2.453 6.213 1.431 0.000 6.213 1.431 2.453 0.000" Properties=species:S:1:pos:R:3 pbc="T T T"
Re 0.000 0.000 0.000
P 1.431 2.453 8.068
Ir 1.431 2.453 3.775
```

crystal system = orthorhombic
ΔE_f = 0.3993 eV per atom


No. 6
This record from Alexandria via LeMat-Bulk describes an optimized crystal structure of Cs2KGaBr4. The functional is PBE-GGA.

extended XYZ file:
```
16
Lattice="-4.892 4.928 6.936 4.892 -4.928 6.936 4.892 4.928 -6.936" Properties=species:S:1:pos:R:3 pbc="T T T"
Cs 0.000 0.000 0.000
Cs -2.446 2.464 3.468
Cs 0.000 4.928 0.000
Cs 2.446 2.464 3.468
K 2.446 2.464 -3.468
K 2.446 -2.464 3.468
Ga 4.892 0.000 0.000
Ga 0.000 0.000 6.936
Br 4.892 -0.172 3.277
Br 2.698 2.464 -0.117
Br 7.086 2.464 -0.117
Br 4.892 4.757 -3.277
Br 0.000 0.172 10.213
Br -2.194 2.464 7.053
Br 2.194 2.464 7.053
Br 0.000 5.100 3.660
```

crystal system = orthorhombic


No. 7
This record from Alexandria via LeMat-Bulk describes an optimized crystal structure of CsTaH2Os. The functional is PBE-GGA.

extended XYZ file:
```
5
Lattice="3.814 0.000 0.000 0.000 3.814 0.000 0.000 0.000 5.691" Properties=species:S:1:pos:R:3 pbc="T T T"
Cs 0.000 0.000 0.000
Ta 0.000 0.000 2.846
H 0.000 1.907 2.846
H 1.907 0.000 2.846
Os 1.907 1.907 0.000
```

crystal system = tetragonal


No. 8
This record from Alexandria via LeMat-Bulk describes an optimized crystal structure of CsCuRe2. The functional is PBE-GGA.

extended XYZ file:
```
4
Lattice="0.000 3.255 3.255 3.255 0.000 3.255 3.255 3.255 0.000" Properties=species:S:1:pos:R:3 pbc="T T T"
Cs 0.000 0.000 0.000
Cu 3.255 3.255 3.255
Re 1.628 1.628 1.628
Re 4.883 4.883 4.883
```

crystal system = cubic
ΔE_f = 2.3462 eV per atom


No. 9
This record from Alexandria via LeMat-Bulk describes an optimized crystal structure of Mg2ZnAu2. The functional is PBE-GGA.

extended XYZ file:
```
10
Lattice="7.526 0.000 0.000 0.000 7.526 0.000 0.000 0.000 3.345" Properties=species:S:1:pos:R:3 pbc="T T T"
Mg 1.114 2.649 0.000
Mg 2.649 6.412 0.000
Mg 4.878 1.114 0.000
Mg 6.412 4.878 0.000
Zn 0.000 0.000 0.000
Zn 3.763 3.763 0.000
Au 1.115 4.878 1.673
Au 2.648 1.115 1.673
Au 4.878 6.412 1.673
Au 6.412 2.648 1.673
```

crystal system = tetragonal
ΔE_f = -0.3038 eV per atom


No. 10
This record from Alexandria via LeMat-Bulk describes an optimized crystal structure of TbPm6Sm2Th. The functional is PBE-GGA.

extended XYZ file:
```
20
Lattice="4.593 -7.553 0.000 4.593 7.553 0.000 -1.811 0.000 9.856" Properties=species:S:1:pos:R:3 pbc="T T T"
Tb 3.235 7.314 7.392
Tb 4.141 -7.314 2.464
Pm 1.496 4.224 6.806
Pm 3.852 4.700 0.584
Pm 4.429 4.700 4.344
Pm 2.083 1.501 8.675
Pm 4.974 4.224 7.977
Pm 2.988 -1.501 3.747
Pm 4.388 1.501 6.109
Pm 2.401 -4.224 1.878
Pm 5.293 -1.501 1.181
Pm 2.946 -4.700 5.512
Pm 3.524 -4.700 9.272
Pm 5.880 -4.224 3.049
Sm 1.169 0.725 5.365
Sm 2.075 -0.725 0.437
Sm 5.301 0.725 9.419
Sm 6.206 -0.725 4.491
Th 4.141 1.447 2.464
Th 3.235 -1.447 7.392
```

crystal system = monoclinic
ΔE_f = 0.1458 eV per atom


No. 11
This record from Alexandria via LeMat-Bulk describes an optimized crystal structure of Cd2AgRh. The functional is PBE-GGA.

extended XYZ file:
```
4
Lattice="1.476 0.852 9.801 -1.476 0.852 9.801 0.000 -1.704 9.801" Properties=species:S:1:pos:R:3 pbc="T T T"
Cd 0.000 0.000 0.000
Cd 0.000 0.000 6.983
Ag 0.000 0.000 14.294
Rh 0.000 0.000 21.824
```

crystal system = trigonal
ΔE_f = 0.0868 eV per atom


No. 12
This record from Alexandria via LeMat-Bulk describes an optimized crystal structure of Ac4NdSb5. The functional is PBE-GGA.

extended XYZ file:
```
10
Lattice="-2.378 2.378 16.773 2.378 -2.378 16.773 2.378 2.378 -16.773" Properties=species:S:1:pos:R:3 pbc="T T T"
Ac 0.000 0.000 3.310
Ac 0.000 0.000 10.098
Ac 0.000 0.000 23.447
Ac 0.000 0.000 30.235
Nd 0.000 0.000 16.773
Sb 0.000 0.000 0.000
Sb 0.000 0.000 6.702
Sb 0.000 0.000 13.520
Sb 0.000 0.000 20.026
Sb 0.000 0.000 26.844
```

crystal system = tetragonal


| no. | DFT total energy (eV/atom) |
| --- | --- |
| 1 | -1.09 |
| 2 | -6.54 |
| 3 | -3.24 |
| 4 | -6.10 |
| 5 | -8.51 |
| 6 | -3.01 |
| 7 | -4.05 |
| 8 | -5.12 |
| 9 | -2.51 |
| 10 | -4.85 |
| 11 | -2.92 |
| 12 | -5.38 |